(1)
Below is a geometry-optimized Au2BrCl structure, with properties calculated at the GGA-PBE level.

abc: 6.9908 6.9908 6.9908
angles: 90.00 90.00 90.00
Element x y z (fractional)
Au 0.2500 0.2500 0.2500
Au 0.2500 0.2500 0.7500
Au 0.2500 0.7500 0.2500
Au 0.2500 0.7500 0.7500
Au 0.7500 0.2500 0.2500
Au 0.7500 0.2500 0.7500
Au 0.7500 0.7500 0.2500
Au 0.7500 0.7500 0.7500
Br 0.0000 0.0000 0.0000
Br 0.0000 0.5000 0.5000
Br 0.5000 0.0000 0.5000
Br 0.5000 0.5000 0.0000
Cl 0.0000 0.0000 0.5000
Cl 0.0000 0.5000 0.0000
Cl 0.5000 0.0000 0.0000
Cl 0.5000 0.5000 0.5000

Excess energy over the best structure of this formula in the dataset = 0.483 eV per atom
Calculated total energy = -2.137 eV per atom
Space-group type = Fm-3m, No. 225

=====

(2)
Below is a geometry-optimized SmDyPu4 structure, with properties calculated at the GGA-PBE level.

abc: 6.1803 6.1803 6.1803
angles: 60.00 60.00 60.00
Element x y z (fractional)
Sm 0.0000 0.0000 0.0000
Dy 0.2500 0.2500 0.2500
Pu 0.1253 0.6249 0.6249
Pu 0.6249 0.1253 0.6249
Pu 0.6249 0.6249 0.1253
Pu 0.6249 0.6249 0.6249

Calculated total energy = -10.872 eV per atom
Space-group type = F-43m, No. 216
Formation energy = 236 meV per atom

=====

(3)
Below is a geometry-optimized Ti5CuSb2 structure, with properties calculated at the GGA-PBE level.

abc: 6.8158 6.8158 11.6955
angles: 90.00 90.00 141.81
Element x y z (fractional)
Ti 0.1153 0.8847 0.6274
Ti 0.1153 0.8847 0.8726
Ti 0.2928 0.7072 0.2500
Ti 0.3059 0.6941 0.5119
Ti 0.3059 0.6941 0.9881
Ti 0.6941 0.3059 0.0119
Ti 0.6941 0.3059 0.4881
Ti 0.7072 0.2928 0.7500
Ti 0.8847 0.1153 0.1274
Ti 0.8847 0.1153 0.3726
Cu 0.3131 0.6869 0.7500
Cu 0.6869 0.3131 0.2500
Sb 0.1019 0.8981 0.1165
Sb 0.1019 0.8981 0.3835
Sb 0.8981 0.1019 0.6165
Sb 0.8981 0.1019 0.8835

Excess energy over the best structure of this formula in the dataset = 0.487 eV per atom
Calculated total energy = -6.381 eV per atom
Space-group type = Cmcm, No. 63

=====

(4)
Below is a geometry-optimized Al2MoCl structure, with properties calculated at the GGA-PBE level.

abc: 3.0700 3.0700 24.5103
angles: 90.00 90.00 120.00
Element x y z (fractional)
Al 0.0000 0.0000 0.2473
Al 0.0000 0.0000 0.7527
Al 0.3333 0.6667 0.4193
Al 0.3333 0.6667 0.9140
Al 0.6667 0.3333 0.0860
Al 0.6667 0.3333 0.5807
Mo 0.0000 0.0000 0.5000
Mo 0.3333 0.6667 0.1667
Mo 0.6667 0.3333 0.8333
Cl 0.0000 0.0000 0.0000
Cl 0.3333 0.6667 0.6667
Cl 0.6667 0.3333 0.3333

Excess energy over the best structure of this formula in the dataset = 0.218 eV per atom
Calculated total energy = -5.184 eV per atom
Space-group type = R-3m, No. 166

=====

(5)
Below is a geometry-optimized InGa2AgCl8 structure, with properties calculated at the GGA-PBE level.

abc: 6.5263 6.5263 9.5096
angles: 90.00 90.00 120.00
Element x y z (fractional)
In 0.0000 0.0000 0.0000
Ga 0.3333 0.6667 0.7559
Ga 0.6667 0.3333 0.2441
Ag 0.0000 0.0000 0.5000
Cl 0.0167 0.3381 0.6854
Cl 0.3214 0.9833 0.6854
Cl 0.3333 0.6667 0.9872
Cl 0.3381 0.3214 0.3146
Cl 0.6619 0.6786 0.6854
Cl 0.6667 0.3333 0.0128
Cl 0.6786 0.0167 0.3146
Cl 0.9833 0.6619 0.3146

Calculated total energy = -3.187 eV per atom
Space-group type = P-3, No. 147

=====

(6)
Below is a geometry-optimized YNbGaGe2 structure, with properties calculated at the GGA-PBE level.

abc: 4.9466 4.9466 4.9497
angles: 90.00 90.00 90.00
Element x y z (fractional)
Y 0.0000 0.0000 0.0000
Nb 0.5000 0.5000 0.5000
Ga 0.5000 0.5000 0.0000
Ge 0.0000 0.5000 0.5000
Ge 0.5000 0.0000 0.5000

Calculated total energy = -5.743 eV per atom
Space-group type = P4/mmm, No. 123
Formation energy = 16 meV per atom

=====

Number 1: mass density 9.9 g/cm3, DOS(E_F) 0.46 states/eV/atom. Number 2: mass density 12.8 g/cm3, DOS(E_F) 4.63 states/eV/atom. Number 3: mass density 5.4 g/cm3, DOS(E_F) 1.06 states/eV/atom. Number 4: mass density 4.6 g/cm3, DOS(E_F) 0.65 states/eV/atom. Number 5: mass density 3.1 g/cm3, DOS(E_F) 0.00 states/eV/atom. Number 6: mass density 5.4 g/cm3, DOS(E_F) 0.63 states/eV/atom.